(1)
DFT (PBE) results for InRe2Rh after structural relaxation.

Geometry as CIF:
```
data_InRe2Rh
_chemical_formula_sum 'In1 Re2 Rh1'
_space_group_name_H-M_alt 'P 4/m m m'
_space_group_IT_number 123
_space_group_name_Hall '-P 4 2'
_cell_length_a 4.783
_cell_length_b 4.783
_cell_length_c 2.824
_cell_angle_alpha 90.00
_cell_angle_beta 90.00
_cell_angle_gamma 90.00
loop_
_atom_site_label
_atom_site_type_symbol
_atom_site_fract_x
_atom_site_fract_y
_atom_site_fract_z
_atom_site_occupancy
In1 In 0.000 0.000 0.000 1
Re1 Re 0.000 0.500 0.500 1
Rh1 Rh 0.500 0.500 0.000 1
```

Properties
Theoretical density = 15.171 g/cm3
Magnetic moment = 0.0 Bohr magnetons per cell
Energy of formation = 0.670 eV per atom
Crystal system = tetragonal

***

(2)
DFT (PBE) results for InReRh2 after structural relaxation.

Geometry as CIF:
```
data_InReRh2
_chemical_formula_sum 'In1 Re1 Rh2'
_space_group_name_H-M_alt 'P m m m'
_space_group_IT_number 47
_cell_length_a 3.797
_cell_length_b 4.085
_cell_length_c 4.097
_cell_angle_alpha 90.00
_cell_angle_beta 90.00
_cell_angle_gamma 90.00
loop_
_space_group_symop_operation_xyz
'x,y,z'
'-x,-y,-z'
'-x,-y,z'
'x,y,-z'
'x,-y,-z'
'-x,y,z'
'-x,y,-z'
'x,-y,z'
loop_
_atom_site_label
_atom_site_type_symbol
_atom_site_fract_x
_atom_site_fract_y
_atom_site_fract_z
_atom_site_occupancy
In1 In 0.000 0.000 0.000 1
Re1 Re 0.000 0.500 0.500 1
Rh1 Rh 0.500 0.000 0.500 1
Rh2 Rh 0.500 0.500 0.000 1
```

Properties
Theoretical density = 13.248 g/cm3
Magnetic moment = 1.7 Bohr magnetons per cell
Energy of formation = 0.240 eV per atom
Crystal system = orthorhombic

***

(3)
DFT (PBE) results for InReRh2 after structural relaxation.

Geometry as CIF:
```
data_InReRh2
_chemical_formula_sum 'In2 Re2 Rh4'
_space_group_name_H-M_alt 'I 4/m m m'
_space_group_IT_number 139
_space_group_name_Hall '-I 4 2'
_cell_length_a 4.041
_cell_length_b 4.041
_cell_length_c 7.693
_cell_angle_alpha 90.00
_cell_angle_beta 90.00
_cell_angle_gamma 90.00
loop_
_atom_site_label
_atom_site_type_symbol
_atom_site_fract_x
_atom_site_fract_y
_atom_site_fract_z
_atom_site_occupancy
In1 In 0.000 0.000 0.000 1
Re1 Re 0.000 0.000 0.500 1
Rh1 Rh 0.000 0.500 0.250 1
```

Properties
Theoretical density = 13.397 g/cm3
Magnetic moment = 2.4 Bohr magnetons per cell
Energy of formation = 0.068 eV per atom
Crystal system = tetragonal

***

(4)
DFT (PBE) results for InRe2Rh after structural relaxation.

Geometry as CIF:
```
data_InRe2Rh
_chemical_formula_sum 'In2 Re4 Rh2'
_space_group_name_H-M_alt 'C 1 m 1'
_space_group_IT_number 8
_cell_length_a 9.171
_cell_length_b 2.819
_cell_length_c 5.049
_cell_angle_alpha 90.00
_cell_angle_beta 99.23
_cell_angle_gamma 90.00
loop_
_space_group_symop_operation_xyz
'x,y,z'
'x,-y,z'
'x+1/2,y+1/2,z'
'x+1/2,-y+1/2,z'
loop_
_atom_site_label
_atom_site_type_symbol
_atom_site_fract_x
_atom_site_fract_y
_atom_site_fract_z
_atom_site_occupancy
In1 In 0.000 0.000 0.000 1
Re1 Re 0.238 0.000 0.682 1
Re2 Re 0.485 0.000 0.504 1
Rh1 Rh 0.253 0.500 0.211 1
```

Properties
Theoretical density = 15.211 g/cm3
Magnetic moment = 0.0 Bohr magnetons per cell
Energy of formation = 0.260 eV per atom
Crystal system = monoclinic

***

(5)
DFT (PBE) results for InRe2Rh after structural relaxation.

Geometry as CIF:
```
data_InRe2Rh
_chemical_formula_sum 'In2 Re4 Rh2'
_space_group_name_H-M_alt 'C 1 2/m 1'
_space_group_IT_number 12
_cell_length_a 9.631
_cell_length_b 2.845
_cell_length_c 4.723
_cell_angle_alpha 90.00
_cell_angle_beta 100.86
_cell_angle_gamma 90.00
loop_
_space_group_symop_operation_xyz
'x,y,z'
'-x,-y,-z'
'-x,y,-z'
'x,-y,z'
'x+1/2,y+1/2,z'
'-x+1/2,-y+1/2,-z'
'-x+1/2,y+1/2,-z'
'x+1/2,-y+1/2,z'
loop_
_atom_site_label
_atom_site_type_symbol
_atom_site_fract_x
_atom_site_fract_y
_atom_site_fract_z
_atom_site_occupancy
In1 In 0.000 0.000 0.000 1
Re1 Re 0.241 0.000 0.739 1
Rh1 Rh 0.000 0.500 0.500 1
```

Properties
Theoretical density = 15.418 g/cm3
Magnetic moment = 0.0 Bohr magnetons per cell
Energy of formation = 0.212 eV per atom
Crystal system = monoclinic

***

(6)
DFT (PBE) results for InReRh2 after structural relaxation.

Geometry as CIF:
```
data_InReRh2
_chemical_formula_sum 'In1 Re1 Rh2'
_space_group_name_H-M_alt 'P m m 2'
_space_group_IT_number 25
_cell_length_a 2.832
_cell_length_b 3.950
_cell_length_c 5.705
_cell_angle_alpha 90.00
_cell_angle_beta 90.00
_cell_angle_gamma 90.00
loop_
_space_group_symop_operation_xyz
'x,y,z'
'-x,-y,z'
'-x,y,z'
'x,-y,z'
loop_
_atom_site_label
_atom_site_type_symbol
_atom_site_fract_x
_atom_site_fract_y
_atom_site_fract_z
_atom_site_occupancy
In1 In 0.000 0.000 0.000 1
Re1 Re 0.500 0.500 0.309 1
Rh1 Rh 0.000 0.000 0.494 1
Rh2 Rh 0.500 0.500 0.767 1
```

Properties
Theoretical density = 13.187 g/cm3
Magnetic moment = 0.0 Bohr magnetons per cell
Energy of formation = 0.081 eV per atom
Crystal system = orthorhombic

***

(7)
DFT (PBE) results for InRe2Rh after structural relaxation.

Geometry as CIF:
```
data_InRe2Rh
_chemical_formula_sum 'In2 Re4 Rh2'
_space_group_name_H-M_alt 'I -4 m 2'
_space_group_IT_number 119
_space_group_name_Hall 'I -4 -2'
_cell_length_a 4.057
_cell_length_b 4.057
_cell_length_c 7.727
_cell_angle_alpha 90.00
_cell_angle_beta 90.00
_cell_angle_gamma 90.00
loop_
_atom_site_label
_atom_site_type_symbol
_atom_site_fract_x
_atom_site_fract_y
_atom_site_fract_z
_atom_site_occupancy
In1 In 0.000 0.000 0.000 1
Re1 Re 0.000 0.000 0.500 1
Re2 Re 0.000 0.500 0.750 1
Rh1 Rh 0.000 0.500 0.250 1
```

Properties
Theoretical density = 15.412 g/cm3
Magnetic moment = 0.0 Bohr magnetons per cell
Energy of formation = 0.332 eV per atom
Crystal system = tetragonal

***

(8)
DFT (PBE) results for InReRu2Rh after structural relaxation.

Geometry as CIF:
```
data_InReRu2Rh
_chemical_formula_sum 'In1 Re1 Ru2 Rh1'
_space_group_name_H-M_alt 'P 4/m m m'
_space_group_IT_number 123
_space_group_name_Hall '-P 4 2'
_cell_length_a 4.619
_cell_length_b 4.619
_cell_length_c 4.859
_cell_angle_alpha 90.00
_cell_angle_beta 90.00
_cell_angle_gamma 90.00
loop_
_atom_site_label
_atom_site_type_symbol
_atom_site_fract_x
_atom_site_fract_y
_atom_site_fract_z
_atom_site_occupancy
In1 In 0.000 0.000 0.000 1
Re1 Re 0.500 0.500 0.000 1
Ru1 Ru 0.000 0.500 0.500 1
Rh1 Rh 0.000 0.000 0.500 1
```

Properties
Theoretical density = 9.709 g/cm3
Magnetic moment = 3.3 Bohr magnetons per cell
Energy of formation = 1.980 eV per atom
Crystal system = tetragonal